First-principles (PBE-GGA) data for a relaxed structure of Tb2Pm5Nd, as listed in Alexandria via LeMat-Bulk.

abc: 9.798 9.798 6.559
angles: 97.66 97.66 61.88
Fractional positions:
Tb 0.168 0.677 0.876
Tb 0.323 0.832 0.624
Tb 0.677 0.168 0.376
Tb 0.832 0.323 0.124
Pm 0.003 0.189 0.641
Pm 0.189 0.003 0.141
Pm 0.212 0.388 0.481
Pm 0.388 0.212 0.981
Pm 0.445 0.555 0.250
Pm 0.555 0.445 0.750
Pm 0.612 0.788 0.019
Pm 0.788 0.612 0.519
Pm 0.811 0.997 0.859
Pm 0.997 0.811 0.359
Nd 0.000 0.500 0.000
Nd 0.500 0.000 0.500

Output
Fermi-level density of states in states/eV per cell: 26.24
Energy above the lowest structure with this stoichiometry in kJ/mol of formula units: 108.6
Total magnetization in μB per formula unit: 0.0
Space group: C2/c (15)
Final energy in hartree per atom: -0.168
Energy of formation from the pure elements in eV/atom: 0.1547

=====

First-principles (PBE-GGA) data for a relaxed structure of NaPr2F, as listed in Alexandria via LeMat-Bulk.

abc: 10.109 10.109 10.109
angles: 21.90 21.90 21.90
Fractional positions:
Na 0.000 0.000 0.000
Pr 0.119 0.119 0.119
Pr 0.881 0.881 0.881
F 0.500 0.500 0.500

Output
Formation energy without anion corrections in meV per atom: -910
Fermi-level density of states in states/eV per cell: 4.86
Total magnetization in μB per formula unit: 0.0
Space group: R-3m (166)
Final energy in hartree per atom: -0.151

=====

First-principles (PBE-GGA) data for a relaxed structure of HoZr2Nb, as listed in Alexandria via LeMat-Bulk.

abc: 5.051 5.051 5.051
angles: 60.00 60.00 60.00
Fractional positions:
Ho 0.000 0.000 0.000
Zr 0.250 0.250 0.250
Zr 0.750 0.750 0.750
Nb 0.500 0.500 0.500

Output
Fermi-level density of states in states/eV per cell: 6.78
Energy above the lowest structure with this stoichiometry in kJ/mol of formula units: 44.4
Total magnetization in μB per formula unit: 0.0
Space group: Fm-3m (225)
Final energy in hartree per atom: -0.284
Energy of formation from the pure elements in eV/atom: 0.2073